AcH6Pd (PBE, optimized geometry); crystal system = trigonal; VASP energy = -3.9740 eV per atom; symmetry = R-3m, No. 166
1.0
-3.486 -3.221 -0.347
-0.150 -2.951 -3.731
1.059 -4.734 0.666
Ac H Pd
1 6 1
Cartesian
-1.289 -5.453 -1.706 Ac
-2.451 -9.235 -3.154 H
-0.785 -7.696 -2.988 H
-0.199 -3.081 -2.041 H
-1.793 -3.210 -0.425 H
-0.127 -1.671 -0.259 H
-2.379 -7.825 -1.371 H
0.000 0.000 0.000 Pd


HgOs2Pb (PBE, optimized geometry); E_form = 0.532 eV per atom; crystal system = tetragonal; symmetry = P4mm, No. 99
1.0
-2.347 -1.112 -1.441
1.689 -2.208 -1.046
-2.069 -5.012 7.237
Hg Os Pb
1 2 1
Cartesian
-1.988 -5.680 4.560 Hg
-0.071 -0.173 0.250 Os
-0.755 -2.691 0.245 Os
-0.947 -2.295 3.313 Pb


GePd3Pb3 (PBE, optimized geometry); E_form = -0.188 eV per atom; crystal system = monoclinic; symmetry = C2/m, No. 12
1.0
-0.673 2.714 6.113
4.170 -5.266 0.243
5.384 4.696 -1.942
Ge Pd Pb
2 6 6
Cartesian
7.672 2.615 2.775 Ge
1.209 -0.472 1.639 Ge
4.490 -1.609 5.893 Pd
5.464 2.634 3.935 Pd
6.871 0.317 2.231 Pd
3.416 -0.491 0.479 Pd
2.010 1.826 2.183 Pd
4.390 3.753 -1.479 Pd
4.094 -0.001 3.379 Pb
6.037 -1.559 0.272 Pb
2.844 3.702 4.142 Pb
2.975 -3.296 1.692 Pb
0.522 0.744 4.664 Pb
4.787 2.144 1.035 Pb


LaNb4Ge2 (PBE, optimized geometry); E_form = -0.146 eV per atom; crystal system = orthorhombic; symmetry = Cmmm, No. 65
1.0
-2.717 -3.486 -1.413
3.232 -3.175 1.618
-4.698 1.535 5.247
Nb Ge La
4 2 1
Cartesian
-1.658 -3.363 3.865 Nb
0.352 -1.609 3.293 Nb
-2.526 -1.763 1.586 Nb
-1.818 -0.031 3.572 Nb
-0.353 -3.341 1.301 Ge
-3.831 -1.785 4.151 Ge
0.000 0.000 0.000 La


IrRu2Rh (PBE, optimized geometry); E_form = 0.016 eV per atom; crystal system = orthorhombic; symmetry = Cmmm, No. 65
1.0
-1.925 -0.466 4.267
3.477 -3.127 -0.517
1.766 1.800 0.994
Ru Ir Rh
2 1 1
Cartesian
0.000 0.000 0.000 Ru
0.776 -1.797 1.875 Ru
-0.079 0.667 2.630 Ir
2.622 -0.664 0.238 Rh


Er3Al9Pt2 (PBE, optimized geometry); E_form = -0.697 eV per atom; crystal system = orthorhombic; symmetry = Immm, No. 71
1.0
-3.205 1.571 2.291
-6.552 -4.354 -2.255
-1.088 -5.365 6.084
Er Al Pt
3 9 2
Cartesian
0.000 0.000 0.000 Er
-4.576 -1.919 2.766 Er
-6.269 -6.228 3.353 Er
-3.820 -4.859 1.914 Al
-9.251 -7.017 3.648 Al
-1.594 -1.130 2.471 Al
-7.832 -7.279 5.814 Al
-3.013 -0.868 0.306 Al
-8.785 -4.523 2.589 Al
-2.060 -3.624 3.530 Al
-6.408 -4.962 6.217 Al
-4.437 -3.185 -0.098 Al
-4.305 -4.280 4.765 Pt
-6.540 -3.867 1.355 Pt


ScTlMo (PBE, optimized geometry); E_form = 0.794 eV per atom; crystal system = cubic; symmetry = F-43m, No. 216
1.0
4.631 0.000 0.000
2.315 4.011 0.000
2.315 1.337 3.781
Mo Sc Tl
1 1 1
Cartesian
0.000 0.000 0.000 Mo
4.631 2.674 1.891 Sc
6.946 4.011 2.836 Tl


LiCoRe (PBE, optimized geometry); E_form = 0.292 eV per atom; crystal system = orthorhombic; symmetry = Fmm2, No. 42
1.0
-2.516 -3.597 -5.447
-0.065 -4.384 -5.204
-1.706 -1.652 1.023
Co Li Re
1 1 1
Cartesian
-1.709 -1.673 0.984 Co
-2.002 -3.791 -2.922 Li
-2.283 -5.821 -6.666 Re


Computed calculated density (g cm⁻³) in order:
7.09, 16.40, 10.77, 7.18, 14.62, 7.25, 8.16, 10.23